VASP calculation (GGA-PBE) on crystalline Tl3CdIn2 at its relaxed geometry.

Calculated values
For the total energy, the calculation gives -2.2067 eV per atom. The polymorph energy (0 for the lowest one) is 0.0136 eV/atom. The value obtained for the formation energy is 0.042 eV/atom.

The structure in POSCAR format:
```
Tl3CdIn2
1.0
4.778 -5.796 0.000
4.778 5.796 0.000
0.000 0.000 6.296
Tl Cd In
6 2 4
Cartesian
4.778 5.179 4.722
3.167 3.036 1.574
6.389 3.036 1.574
3.167 -3.036 4.722
6.389 -3.036 4.722
4.778 -5.179 1.574
4.778 2.171 4.722
4.778 -2.171 1.574
3.103 0.000 0.000
3.103 0.000 3.148
6.454 0.000 0.000
6.454 0.000 3.148
```